A plane-wave DFT calculation with GGA-PBE was carried out for crystalline Ho2ZnRh at its relaxed geometry.

Structure (CIF):
```
data_Ho2ZnRh
_cell_length_a 3.4757
_cell_length_b 3.4757
_cell_length_c 7.0314
_cell_angle_alpha 90.00
_cell_angle_beta 90.00
_cell_angle_gamma 90.00
_space_group_name_H-M_alt 'P 4/m m m'
_space_group_IT_number 123
_space_group_name_Hall '-P 4 2'
loop_
_atom_site_label
_atom_site_fract_x
_atom_site_fract_y
_atom_site_fract_z
Ho1 0.0000 0.0000 0.2338
Zn1 0.5000 0.5000 0.5000
Rh1 0.5000 0.5000 0.0000
```

Energy relative to the elements = -0.632 eV per atom
Calculated total energy = -5.077 eV/atom